Crystalline La2MoI2 at its relaxed geometry, computed with GGA-PBE.

a b c (Å): 6.217 6.217 8.628
angles (deg): 90.00 90.00 90.00
Positions (direct):
La  0.000  0.500  0.250
La  0.000  0.500  0.750
La  0.500  0.000  0.250
La  0.500  0.000  0.750
Mo  0.000  0.000  0.000
Mo  0.500  0.500  0.500
I  0.000  0.000  0.310
I  0.000  0.000  0.690
I  0.500  0.500  0.190
I  0.500  0.500  0.810

Results
**Offset from the most stable computed form**: 105 meV/atom
**Electronic total energy**: -0.3461 Ry/atom
**Size of the total moment**: 0.247 μB/atom
**Space group**: I4/mmm
**Formation energy from raw total energies**: 0.05 eV/atom
**Density of states at the Fermi level**: 1.02 states/eV per atom

***

Crystalline CdHF4 at its relaxed geometry, computed with GGA-PBE.

a b c (Å): 4.494 7.261 4.626
angles (deg): 90.00 102.52 90.00
Positions (direct):
Cd  0.144  0.250  0.188
Cd  0.856  0.750  0.812
H  0.436  0.750  0.273
H  0.564  0.250  0.727
F  0.141  0.560  0.208
F  0.141  0.940  0.208
F  0.324  0.750  0.681
F  0.347  0.250  0.720
F  0.653  0.750  0.280
F  0.676  0.250  0.319
F  0.859  0.060  0.792
F  0.859  0.440  0.792

Results
**Offset from the most stable computed form**: 0 meV/atom
**Electronic total energy**: -0.2521 Ry/atom
**Size of the total moment**: 0.167 μB/atom
**Space group**: P2_1/m

***

Crystalline LiErGa2Au4 at its relaxed geometry, computed with GGA-PBE.

a b c (Å): 8.571 8.571 8.571
angles (deg): 30.73 30.73 30.73
Positions (direct):
Li  0.000  0.000  0.000
Er  0.500  0.500  0.500
Ga  0.255  0.255  0.255
Ga  0.745  0.745  0.745
Au  0.108  0.108  0.108
Au  0.368  0.368  0.368
Au  0.632  0.632  0.632
Au  0.892  0.892  0.892

Results
**Electronic total energy**: -0.2758 Ry/atom
**Size of the total moment**: 0.000 μB/atom
**Space group**: R-3m
**Density of states at the Fermi level**: 0.37 states/eV per atom

***

Crystalline Na2LaRuO6 at its relaxed geometry, computed with GGA-PBE.

a b c (Å): 5.701 5.910 9.935
angles (deg): 90.00 124.38 90.00
Positions (direct):
Na  0.243  0.045  0.255
Na  0.243  0.455  0.755
Na  0.757  0.545  0.245
Na  0.757  0.955  0.745
La  0.500  0.000  0.000
La  0.500  0.500  0.500
Ru  0.000  0.000  0.500
Ru  0.000  0.500  0.000
O  0.100  0.231  0.935
O  0.100  0.269  0.435
O  0.227  0.673  0.953
O  0.227  0.827  0.453
O  0.322  0.045  0.719
O  0.322  0.455  0.219
O  0.678  0.545  0.781
O  0.678  0.955  0.281
O  0.773  0.173  0.547
O  0.773  0.327  0.047
O  0.900  0.731  0.565
O  0.900  0.769  0.065

Results
**Electronic total energy**: -0.4644 Ry/atom
**Size of the total moment**: 0.044 μB/atom
**Space group**: P2_1/c
**Formation energy from raw total energies**: -1.66 eV/atom
**Density of states at the Fermi level**: 0.43 states/eV per atom

***

Crystalline Er2HfPaC4 at its relaxed geometry, computed with GGA-PBE.

a b c (Å): 6.065 3.496 6.067
angles (deg): 90.00 109.81 90.00
Positions (direct):
Er  0.000  0.000  0.000
Er  0.000  0.500  0.500
Hf  0.500  0.000  0.500
Pa  0.500  0.500  0.000
C  0.269  0.500  0.262
C  0.273  0.000  0.751
C  0.727  0.000  0.249
C  0.731  0.500  0.738

Results
**Electronic total energy**: -0.6345 Ry/atom
**Size of the total moment**: 0.000 μB/atom
**Space group**: P2/m
**Density of states at the Fermi level**: 0.88 states/eV per atom

***

Crystalline BeB2H6 at its relaxed geometry, computed with GGA-PBE.

a b c (Å): 5.988 5.988 5.518
angles (deg): 103.11 103.11 112.63
Positions (direct):
Be  0.250  0.750  0.750
Be  0.750  0.250  0.250
B  0.057  0.392  0.551
B  0.392  0.057  0.051
B  0.608  0.943  0.949
B  0.943  0.608  0.449
H  0.127  0.818  0.491
H  0.152  0.468  0.796
H  0.182  0.873  0.009
H  0.208  0.357  0.453
H  0.357  0.208  0.953
H  0.468  0.152  0.296
H  0.532  0.848  0.704
H  0.643  0.792  0.047
H  0.792  0.643  0.547
H  0.818  0.127  0.991
H  0.848  0.532  0.204
H  0.873  0.182  0.509

Results
**Offset from the most stable computed form**: 0 meV/atom
**Electronic total energy**: -0.3121 Ry/atom
**Size of the total moment**: 0.000 μB/atom
**Space group**: C2/c
**Density of states at the Fermi level**: 0.00 states/eV per atom

***

Crystalline La5PmGe4 at its relaxed geometry, computed with GGA-PBE.

a b c (Å): 8.442 8.442 7.147
angles (deg): 90.82 90.82 36.26
Positions (direct):
La  0.000  0.000  0.000
La  0.334  0.334  0.488
La  0.337  0.337  0.005
La  0.663  0.663  0.995
La  0.666  0.666  0.512
Pm  0.000  0.000  0.500
Ge  0.176  0.176  0.750
Ge  0.491  0.491  0.741
Ge  0.509  0.509  0.259
Ge  0.824  0.824  0.250

Results
**Electronic total energy**: -0.3997 Ry/atom
**Size of the total moment**: 0.000 μB/atom
**Space group**: C2/m
**Density of states at the Fermi level**: 0.64 states/eV per atom

***

Crystalline CaDyYSc at its relaxed geometry, computed with GGA-PBE.

a b c (Å): 7.948 7.948 7.948
angles (deg): 90.00 90.00 90.00
Positions (direct):
Ca  0.000  0.000  0.000
Ca  0.000  0.500  0.500
Ca  0.500  0.000  0.500
Ca  0.500  0.500  0.000
Dy  0.250  0.250  0.250
Dy  0.250  0.750  0.750
Dy  0.750  0.250  0.750
Dy  0.750  0.750  0.250
Y  0.250  0.250  0.750
Y  0.250  0.750  0.250
Y  0.750  0.250  0.250
Y  0.750  0.750  0.750
Sc  0.000  0.000  0.500
Sc  0.000  0.500  0.000
Sc  0.500  0.000  0.000
Sc  0.500  0.500  0.500

Results
**Electronic total energy**: -0.3436 Ry/atom
**Size of the total moment**: 0.000 μB/atom
**Space group**: F-43m
**Density of states at the Fermi level**: 1.79 states/eV per atom

***

Number 1: theoretical density 6.25 g/cm³. Number 2: theoretical density 4.27 g/cm³. Number 3: theoretical density 12.55 g/cm³. Number 4: theoretical density 4.59 g/cm³. Number 5: theoretical density 10.87 g/cm³. Number 6: theoretical density 0.73 g/cm³. Number 7: theoretical density 6.23 g/cm³. Number 8: theoretical density 4.45 g/cm³.